The following is a DFT calculation (GGA-PBE) of an optimized crystal structure of Ba3ReOs.

abc: 5.8642 5.8642 5.8642
angles: 90.00 90.00 90.00
Each line ends with the local moment (μB).
Fractional coordinates of all 5 atoms:
1 Re 0.5000 0.5000 0.5000  3.06
2 Os 0.0000 0.0000 0.0000  -0.06
3 Ba 0.0000 0.5000 0.0000  -0.04
4 Ba 0.0000 0.0000 0.5000  -0.03
5 Ba 0.5000 0.0000 0.0000  -0.04

calculated formation energy	1451	meV/atom
DFT total energy	-4.438	eV/atom
relative energy among the computed polymorphs	0.0000	eV/atom

=====

The following is a DFT calculation (GGA-PBE) of an optimized crystal structure of BaReOs2.

abc: 3.0899 3.0899 8.2298
angles: 90.00 90.00 90.00
Fractional coordinates of all 4 atoms:
1 Re 0.5000 0.5000 0.2500
2 Os 0.0000 0.0000 0.0683
3 Os 0.0000 0.0000 0.4317
4 Ba 0.5000 0.5000 0.7500

calculated formation energy	743	meV/atom
DFT total energy	-8.465	eV/atom
relative energy among the computed polymorphs	0.0000	eV/atom